Record 1
A plane-wave DFT calculation with PBE was carried out for a geometry-optimized Y2FeHgN structure.

```
Y2FeHgN
1.0
5.026 0.000 0.000
0.000 5.026 0.000
0.000 0.000 3.657
Y Fe Hg N
2 1 1 1
direct
0.000 0.500 0.000
0.500 0.000 0.000
0.000 0.000 0.500
0.500 0.500 0.500
0.000 0.000 0.000
```

Values from the calculation:
VASP energy = -6.7236 eV/atom
raw formation energy = -3.60 eV per formula unit

=====

Record 2
A plane-wave DFT calculation with PBE was carried out for a geometry-optimized Zn2FeHgN structure.

```
Zn2FeHgN
1.0
4.891 0.000 0.000
0.000 4.891 0.000
0.000 0.000 3.475
Zn Fe Hg N
2 1 1 1
direct
0.000 0.500 0.000
0.500 0.000 0.000
0.000 0.000 0.000
0.500 0.500 0.500
0.000 0.000 0.500
```

Values from the calculation:
VASP energy = -3.6265 eV/atom
raw formation energy = 1.51 eV per formula unit

=====

Record 3
A plane-wave DFT calculation with PBE was carried out for a geometry-optimized ZrFeHg2N structure.

```
ZrFeHg2N
1.0
5.236 0.000 0.000
0.000 5.236 0.000
0.000 0.000 3.405
Zr Fe Hg N
1 1 2 1
direct
0.000 0.000 0.000
0.500 0.500 0.500
0.000 0.500 0.500
0.500 0.000 0.500
0.500 0.500 0.000
```

Values from the calculation:
VASP energy = -4.7804 eV/atom
raw formation energy = 2.04 eV per formula unit

=====

Record 4
A plane-wave DFT calculation with PBE was carried out for a geometry-optimized NaFeHg3 structure.

```
NaFeHg3
1.0
5.138 0.000 0.000
0.000 5.138 0.000
0.000 0.000 5.138
Na Fe Hg
1 1 3
direct
0.000 0.000 0.000
0.500 0.500 0.500
0.000 0.500 0.500
0.500 0.000 0.500
0.500 0.500 0.000
```

Values from the calculation:
energy relative to the lowest polymorph listed for this composition = 0.000 eV per atom
VASP energy = -1.9393 eV/atom
formation energy = 0.198 eV/atom

=====

no.,total moment (μB per formula unit),Fermi-level density of states (states/eV/f.u.),V (A^3/atom)
1,0.526,2.5,18.5
2,0.000,1.5,16.6
3,0.307,4.9,18.7
4,2.005,4.2,27.1